1.
Below is a geometry-optimized Sc2SbMo structure, with properties calculated at the PBE-GGA level.

POSCAR file:
```
Sc2SbMo
1.0
4.538 0.000 0.000
0.000 4.538 0.000
0.000 0.000 3.840
Sc Sb Mo
2 1 1
Cartesian
0.000 2.269 0.000
2.269 0.000 0.000
0.000 0.000 1.920
2.269 2.269 1.920
```

energy relative to the lowest polymorph listed for this composition	0.0	kJ per mole of atoms
space group	No. 123

---

2.
Below is a geometry-optimized ScSbMo2 structure, with properties calculated at the PBE-GGA level.

POSCAR file:
```
ScSbMo2
1.0
4.346 0.000 0.000
0.000 4.346 0.000
0.000 0.000 7.608
Sc Sb Mo
2 2 4
Cartesian
0.000 0.000 0.000
2.173 2.173 3.804
0.000 2.173 1.902
2.173 0.000 5.706
0.000 0.000 3.804
0.000 2.173 5.706
2.173 0.000 1.902
2.173 2.173 0.000
```

energy relative to the lowest polymorph listed for this composition	6.5	kJ per mole of atoms
space group	No. 119

---

3.
Below is a geometry-optimized Sc2SbMo structure, with properties calculated at the PBE-GGA level.

POSCAR file:
```
Sc2SbMo
1.0
3.307 0.000 0.000
-1.654 2.864 0.000
0.000 0.000 27.139
Sc Sb Mo
6 3 3
Cartesian
0.000 0.000 6.528
0.000 0.000 20.612
0.000 1.910 11.565
0.000 1.910 24.620
1.654 0.955 2.519
1.654 0.955 15.574
0.000 0.000 0.000
0.000 1.910 18.093
1.654 0.955 9.046
0.000 0.000 13.570
0.000 1.910 4.523
1.654 0.955 22.616
```

energy relative to the lowest polymorph listed for this composition	25.1	kJ per mole of atoms
space group	No. 166

---

4.
Below is a geometry-optimized ScSbMo4 structure, with properties calculated at the PBE-GGA level.

POSCAR file:
```
ScSbMo4
1.0
0.000 3.782 3.782
3.782 0.000 3.782
3.782 3.782 0.000
Sc Sb Mo
1 1 4
Cartesian
0.000 0.000 0.000
1.891 1.891 1.891
4.726 2.839 2.839
2.839 4.726 2.839
2.839 2.839 4.726
4.726 4.726 4.726
```

space group	No. 216

---

| no. | DOS(E_F) (states/eV/atom) | E_form (uncorrected) (eV/atom) | electronic total energy (eV/f.u.) |
| --- | --- | --- | --- |
| 1 | 0.90 | -0.322 | -28.90 |
| 2 | 0.50 | 0.002 | -32.11 |
| 3 | 1.60 | -0.062 | -27.86 |
| 4 | 0.89 | 0.127 | -53.02 |